# 1
YAg2HAu | PBE | relaxed

## Properties
- Magnetic moment: 0.00 Bohr magnetons per cell
- V: 17.22 A^3/atom
- Uncorrected energy: -3.9739 eV per atom

Lattice parameters (Å, degrees): 4.3206 4.3206 4.6114 90.00 90.00 90.00
Element x y z (fractional)
Au 0.5000 0.5000 0.5000
H 0.0000 0.0000 0.0000
Ag 0.5000 0.0000 0.0000
Ag 0.0000 0.5000 0.0000
Y 0.0000 0.0000 0.5000



# 2
Zn2AgHAu | PBE | relaxed

## Properties
- Magnetic moment: 0.00 Bohr magnetons per cell
- V: 13.63 A^3/atom
- Uncorrected energy: -2.2994 eV per atom

Lattice parameters (Å, degrees): 4.1997 4.1997 3.8653 90.00 90.00 90.00
Element x y z (fractional)
Ag 0.0000 0.0000 0.5000
Zn 0.0000 0.5000 0.0000
H 0.0000 0.0000 0.0000
Au 0.5000 0.5000 0.5000
Zn 0.5000 0.0000 0.0000



# 3
HfAgAu3 | PBE | relaxed

## Properties
- Magnetic moment: 0.00 Bohr magnetons per cell
- V: 28.25 A^3/atom
- DFT formation energy: 3.3 eV/f.u.

Lattice parameters (Å, degrees): 5.2078 5.2078 5.2078 90.00 90.00 90.00
Element x y z (fractional)
Au 0.5000 0.0000 0.0000
Hf 0.0000 0.0000 0.0000
Au 0.0000 0.0000 0.5000
Ag 0.5000 0.5000 0.5000
Au 0.0000 0.5000 0.0000